[1]
Density functional theory data (PBE) for a relaxed structure of AlAg2Se.

Lattice parameters (Å, degrees): 7.6458 7.6458 6.0676 50.95 50.95 90.00
Atoms (fractional coordinates):
Ag 0.1289 0.6250 0.2500
Ag 0.6211 0.1250 0.2500
Ag 0.8750 0.8711 0.7500
Ag 0.3750 0.3789 0.7500
Al 0.2500 0.7500 0.5000
Al 0.5000 0.5000 0.0000
Se 0.0000 0.0000 0.0000
Se 0.7500 0.2500 0.5000

The total energy comes out at -12.38 eV per formula unit. Its uncorrected formation energy is 138 meV/atom. As for the space-group type: I-42d, No. 122.



[2]
Density functional theory data (PBE) for a relaxed structure of NbTc2HOs.

Lattice parameters (Å, degrees): 3.9549 3.9549 4.0532 90.00 90.00 90.00
Atoms (fractional coordinates):
Tc 0.5000 0.0000 0.0000
Tc 0.0000 0.5000 0.0000
H 0.0000 0.0000 0.0000
Nb 0.0000 0.0000 0.5000
Os 0.5000 0.5000 0.5000

The total energy comes out at -45.51 eV per formula unit. As for the space-group type: P4/mmm, No. 123.



[3]
Density functional theory data (PBE) for a relaxed structure of CsMgCuF6.

Lattice parameters (Å, degrees): 7.2745 7.4130 7.3203 120.42 119.79 90.00
Atoms (fractional coordinates):
F 0.5536 0.3036 0.1073
F 0.4364 0.6706 0.2496
F 0.4364 0.0790 0.2496
F 0.5636 0.9210 0.7504
F 0.4464 0.6964 0.8927
F 0.5636 0.3294 0.7504
F 0.8132 0.6706 0.2496
F 0.1868 0.3294 0.7504
F 0.1868 0.9210 0.7504
F 0.1784 0.9284 0.3567
F 0.8216 0.0716 0.6433
F 0.8132 0.0790 0.2496
Cu 0.5000 0.5000 0.0000
Cu 0.5000 0.0000 0.0000
Mg 0.0000 0.0000 0.5000
Mg 0.5000 0.0000 0.5000
Cs 0.8782 0.6282 0.7565
Cs 0.1218 0.3718 0.2435

The total energy comes out at -40.03 eV per formula unit. Its uncorrected formation energy is -2473 meV/atom. As for the space-group type: Imma, No. 74.



[4]
Density functional theory data (PBE) for a relaxed structure of UGe2Pd3.

Lattice parameters (Å, degrees): 4.0339 8.6624 10.0132 107.99 90.00 103.46
Atoms (fractional coordinates):
Ge 0.5441 0.0881 0.7825
Ge 0.4559 0.9119 0.2175
Ge 0.3631 0.7262 0.5431
Ge 0.8017 0.6034 0.8657
Ge 0.1983 0.3966 0.1343
Ge 0.6369 0.2738 0.4569
U 0.8412 0.6824 0.3005
U 0.1588 0.3176 0.6995
U 0.0000 0.0000 0.0000
Pd 0.3172 0.6345 0.0311
Pd 0.9611 0.9222 0.6698
Pd 0.0389 0.0778 0.3302
Pd 0.2163 0.4325 0.3933
Pd 0.6138 0.2277 0.1918
Pd 0.7837 0.5675 0.6067
Pd 0.6828 0.3655 0.9689
Pd 0.3862 0.7723 0.8082
Pd 0.5000 0.0000 0.5000

The total energy comes out at -39.03 eV per formula unit. As for the space-group type: C2/m, No. 12. The energy relative to the elements comes out at -0.49 eV/atom.



[5]
Density functional theory data (PBE) for a relaxed structure of Ti8In2Sn.

Lattice parameters (Å, degrees): 4.8599 7.3663 7.6703 61.30 75.56 58.71
Atoms (fractional coordinates):
Ti 0.7180 0.5746 0.0000
Ti 0.8161 0.1034 0.2128
Ti 0.5000 0.2083 0.5833
Ti 0.1839 0.8966 0.7872
Ti 0.8161 0.3163 0.7872
Ti 0.5000 0.7917 0.4167
Ti 0.2820 0.4254 0.0000
Ti 0.1839 0.6837 0.2128
Sn 0.5000 0.0000 0.0000
In 0.0000 0.6943 0.6114
In 0.0000 0.3057 0.3886

The total energy comes out at -72.68 eV per formula unit. As for the space-group type: C2/m, No. 12. The energy relative to the elements comes out at 0.00 eV/atom.



[6]
Density functional theory data (PBE) for a relaxed structure of PdRuPt5.

Lattice parameters (Å, degrees): 3.8770 3.8770 7.6754 90.00 90.00 90.00
Atoms (fractional coordinates):
Pd 0.0000 0.0000 0.0000
Ru 0.0000 0.0000 0.5000
Pt 0.0000 0.5000 0.2718
Pt 0.0000 0.5000 0.7282
Pt 0.5000 0.0000 0.7282
Pt 0.5000 0.5000 0.0000
Pt 0.5000 0.0000 0.2718

The total energy comes out at -43.65 eV per formula unit. As for the space-group type: P4/mmm, No. 123. The energy relative to the elements comes out at 0.15 eV/atom.